# LiV2RuO8

A relaxed structure of LiV2RuO8 (PBE with a Hubbard U, Alexandria via LeMat-Bulk).

a = 5.764 Å, b = 5.764 Å, c = 5.457 Å
α = 90.00°, β = 90.00°, γ = 120.00°
Last column: magnetic moment on the atom in μB.
Fractional coordinates of all 12 atoms:
Li 0.000 0.000 0.000  0.00
V 0.667 0.333 0.358  0.12
V 0.333 0.667 0.642  0.12
Ru 0.000 0.000 0.500  1.81
O 0.844 0.156 0.279  0.10
O 0.844 0.687 0.279  0.10
O 0.313 0.156 0.279  0.10
O 0.687 0.844 0.721  0.10
O 0.333 0.667 0.346  -0.02
O 0.667 0.333 0.654  -0.02
O 0.156 0.844 0.721  0.10
O 0.156 0.313 0.721  0.10

Summary:
E_tot = -6.96 eV/atom
symmetry = P-3m1, No. 164